The following is a DFT calculation (PBE-GGA) of crystalline Sm3Si8Pd3 at its relaxed geometry.

a = 8.0859 Å, b = 8.0859 Å, c = 8.0859 Å
α = 150.50°, β = 105.35°, γ = 82.24°
With the nearest neighbours (Å) after each atom.
Atoms (fractional coordinates):
Sm (0.0000, 0.0000, 0.0000)  12 Si 3.17-3.26, 4 Pd 3.45
Sm (0.2991, 0.2991, 0.0000)  8 Si 2.98-3.04, 4 Pd 3.20-3.25
Sm (0.7009, 0.7009, 0.0000)  8 Si 2.98-3.04, 4 Pd 3.20-3.25
Si (0.0231, 0.6632, 0.3600)  1 Pd 2.43, 3 Si 2.55-2.58
Si (0.1562, 0.8674, 0.2888)  3 Si 2.55-2.58, 3 Pd 2.62-2.63
Si (0.3032, 0.6632, 0.6400)  1 Pd 2.43, 3 Si 2.55-2.58
Si (0.4214, 0.1326, 0.2888)  3 Si 2.55-2.58, 3 Pd 2.62-2.63
Si (0.5786, 0.8674, 0.7112)  3 Si 2.55-2.58, 3 Pd 2.62-2.63
Si (0.6968, 0.3368, 0.3600)  1 Pd 2.43, 3 Si 2.55-2.58
Si (0.8438, 0.1326, 0.7112)  3 Si 2.55-2.58, 3 Pd 2.62-2.63
Si (0.9769, 0.3368, 0.6400)  1 Pd 2.43, 3 Si 2.55-2.58
Pd (0.2826, 0.5000, 0.7826)  6 Si 2.43-2.62
Pd (0.5000, 0.0000, 0.5000)  4 Si 2.63
Pd (0.7174, 0.5000, 0.2174)  6 Si 2.43-2.62

E above lowest polymorph	8.43	kJ per mole of atoms
SG	Immm
calculated volume	245.95	Å³ per cell
density	6.7	g/cm³
uncorrected formation energy	-6.9	eV/f.u.

---

The following is a DFT calculation (PBE-GGA) of crystalline CeP3Ru3 at its relaxed geometry.

a = 7.7499 Å, b = 7.7499 Å, c = 7.7499 Å
α = 51.16°, β = 51.16°, γ = 51.16°
With the nearest neighbours (Å) after each atom.
Atoms (fractional coordinates):
Ce (0.1673, 0.1673, 0.1673)  6 P 2.95-2.96, 3 Ru 3.27
Ce (0.8327, 0.8327, 0.8327)  6 P 2.95-2.96, 3 Ru 3.27
P (0.0912, 0.4037, 0.7260)  4 Ru 2.29-2.39
P (0.2740, 0.9088, 0.5963)  4 Ru 2.29-2.39
P (0.4037, 0.7260, 0.0912)  4 Ru 2.29-2.39
P (0.5963, 0.2740, 0.9088)  4 Ru 2.29-2.39
P (0.7260, 0.0912, 0.4037)  4 Ru 2.29-2.39
P (0.9088, 0.5963, 0.2740)  4 Ru 2.29-2.39
Ru (0.0327, 0.7197, 0.3817)  4 P 2.29-2.39
Ru (0.2803, 0.6183, 0.9673)  4 P 2.29-2.39
Ru (0.3817, 0.0327, 0.7197)  4 P 2.29-2.39
Ru (0.6183, 0.9673, 0.2803)  4 P 2.29-2.39
Ru (0.7197, 0.3817, 0.0327)  4 P 2.29-2.39
Ru (0.9673, 0.2803, 0.6183)  4 P 2.29-2.39

SG	R-3
calculated volume	260.56	Å³ per cell
energy of formation from the pure elements	-702	meV per atom
density	6.8	g/cm³

---

The following is a DFT calculation (PBE-GGA) of crystalline LaTe2P at its relaxed geometry.

a = 5.0110 Å, b = 5.0110 Å, c = 4.3321 Å
α = 90.00°, β = 90.00°, γ = 99.49°
With the nearest neighbours (Å) after each atom.
Atoms (fractional coordinates):
La (0.0000, 0.0000, 0.0000)  2 P 3.24, 8 Te 3.31
Te (0.0000, 0.5000, 0.5000)  2 Te 3.24, 4 La 3.31, 4 P 3.31
Te (0.5000, 0.0000, 0.5000)  2 Te 3.24, 4 La 3.31, 4 P 3.31
P (0.5000, 0.5000, 0.0000)  2 La 3.24, 8 Te 3.31

SG	Cmmm
calculated volume	107.29	Å³ per cell
density	6.6	g/cm³
uncorrected formation energy	-2.3	eV/f.u.

---

The following is a DFT calculation (PBE-GGA) of crystalline PmZrP2Rh5 at its relaxed geometry.

a = 4.0463 Å, b = 4.0463 Å, c = 10.3675 Å
α = 90.00°, β = 90.00°, γ = 90.00°
With the nearest neighbours (Å) after each atom.
Atoms (fractional coordinates):
Pm (0.0000, 0.0000, 0.0000)  4 Rh 2.86
Zr (0.0000, 0.0000, 0.5000)  8 Rh 2.76
P (0.5000, 0.5000, 0.2187)  5 Rh 2.27
P (0.5000, 0.5000, 0.7813)  5 Rh 2.27
Rh (0.0000, 0.5000, 0.3183)  2 P 2.27
Rh (0.0000, 0.5000, 0.6817)  2 P 2.27
Rh (0.5000, 0.0000, 0.3183)  2 P 2.27
Rh (0.5000, 0.0000, 0.6817)  2 P 2.27
Rh (0.5000, 0.5000, 0.0000)  2 P 2.27

SG	P4/mmm
calculated volume	169.74	Å³ per cell
energy of formation from the pure elements	-770	meV per atom
density	8.0	g/cm³